(1)
This record from OQMD describes a geometry-optimized LaTlCdTe3 structure. The functional is PBE.

Summary:
- Symmetry: Pnma (62)
- Energy above the most stable polymorph in this dataset: 0.016 eV/atom

Cell: 15.4239 4.6222 12.3470 Å, 90.00 90.00 90.00°
Last column: nearest neighbours and their distance in Å.
Fractional positions:
La: 0.9712 0.2500 0.8411  6 Te 3.18-3.34
La: 0.4712 0.2500 0.6589  6 Te 3.18-3.34
La: 0.5288 0.7500 0.3411  6 Te 3.18-3.34
La: 0.0288 0.7500 0.1589  6 Te 3.18-3.34
Te: 0.6573 0.2500 0.2531  1 Cd 2.85
Te: 0.4052 0.7500 0.1185  3 Cd 2.91-2.95
Te: 0.8427 0.7500 0.7531  1 Cd 2.85
Te: 0.9052 0.7500 0.3815  3 Cd 2.91-2.95
Te: 0.3968 0.2500 0.4186  3 La 3.18-3.23, 2 Tl 3.39
Te: 0.0948 0.2500 0.6185  3 Cd 2.91-2.95
Te: 0.1573 0.2500 0.2469  1 Cd 2.85
Te: 0.1032 0.7500 0.9186  3 La 3.18-3.23, 2 Tl 3.39
Te: 0.6032 0.7500 0.5814  3 La 3.18-3.23, 2 Tl 3.39
Te: 0.3427 0.7500 0.7469  1 Cd 2.85
Te: 0.5948 0.2500 0.8815  3 Cd 2.91-2.95
Te: 0.8968 0.2500 0.0814  3 La 3.18-3.23, 2 Tl 3.39
Tl: 0.7611 0.2500 0.5444  6 Te 3.39-3.79
Tl: 0.7389 0.7500 0.0444  6 Te 3.39-3.79
Tl: 0.2389 0.7500 0.4556  6 Te 3.39-3.79
Tl: 0.2611 0.2500 0.9556  6 Te 3.39-3.79
Cd: 0.5188 0.2500 0.1007  4 Te 2.85-2.95
Cd: 0.4812 0.7500 0.8993  4 Te 2.85-2.95
Cd: 0.0188 0.2500 0.3993  4 Te 2.85-2.95
Cd: 0.9812 0.7500 0.6007  4 Te 2.85-2.95

(2)
This record from OQMD describes a geometry-optimized K2Zn2S3O12 structure. The functional is PBE.

Summary:
- Symmetry: P2_13 (198)
- Uncorrected energy: -5.604 eV/atom

Cell: 9.8639 9.8639 9.8639 Å, 90.00 90.00 90.00°
Last column: nearest neighbours and their distance in Å.
Fractional positions:
O: 0.4939 0.4195 0.6726  1 S 1.49
O: 0.6726 0.4939 0.4195  1 S 1.49
O: 0.4401 0.2516 0.4969  1 S 1.49
O: 0.1726 0.0061 0.5805  1 S 1.49
O: 0.2516 0.4969 0.4401  1 S 1.49
O: 0.0937 0.8376 0.7423  1 S 1.47
O: 0.2734 0.9652 0.3171  1 S 1.48
O: 0.8376 0.7423 0.0937  1 S 1.47
O: 0.4652 0.1829 0.7266  1 S 1.48
O: 0.0061 0.5805 0.1726  1 S 1.49
O: 0.3171 0.2734 0.9652  1 S 1.48
O: 0.8171 0.2266 0.0348  1 S 1.48
O: 0.1829 0.7266 0.4652  1 S 1.48
O: 0.3376 0.7577 0.9063  1 S 1.47
O: 0.2484 0.5031 0.9401  1 S 1.49
O: 0.2423 0.4063 0.1624  1 S 1.47
O: 0.9652 0.3171 0.2734  1 S 1.48
O: 0.4195 0.6726 0.4939  1 S 1.49
O: 0.4969 0.4401 0.2516  1 S 1.49
O: 0.6829 0.7734 0.5348  1 S 1.48
O: 0.6624 0.2577 0.5937  1 S 1.47
O: 0.7266 0.4652 0.1829  1 S 1.48
O: 0.1624 0.2423 0.4063  1 S 1.47
O: 0.5031 0.9401 0.2484  1 S 1.49
O: 0.9401 0.2484 0.5031  1 S 1.49
O: 0.5348 0.6829 0.7734  1 S 1.48
O: 0.9063 0.3376 0.7577  1 S 1.47
O: 0.9969 0.0599 0.7484  1 S 1.49
O: 0.8274 0.5061 0.9195  1 S 1.49
O: 0.9195 0.8274 0.5061  1 S 1.49
O: 0.7516 0.0031 0.5599  1 S 1.49
O: 0.5937 0.6624 0.2577  1 S 1.47
O: 0.2577 0.5937 0.6624  1 S 1.47
O: 0.5599 0.7516 0.0031  1 S 1.49
O: 0.2266 0.0348 0.8171  1 S 1.48
O: 0.9939 0.0805 0.3274  1 S 1.49
O: 0.7577 0.9063 0.3376  1 S 1.47
O: 0.4063 0.1624 0.2423  1 S 1.47
O: 0.0348 0.8171 0.2266  1 S 1.48
O: 0.7423 0.0937 0.8376  1 S 1.47
O: 0.5061 0.9195 0.8274  1 S 1.49
O: 0.3274 0.9939 0.0805  1 S 1.49
O: 0.0599 0.7484 0.9969  1 S 1.49
O: 0.7734 0.5348 0.6829  1 S 1.48
O: 0.7484 0.9969 0.0599  1 S 1.49
O: 0.0031 0.5599 0.7516  1 S 1.49
O: 0.5805 0.1726 0.0061  1 S 1.49
O: 0.0805 0.3274 0.9939  1 S 1.49
S: 0.7218 0.1237 0.9825  4 O 1.47-1.49
S: 0.9825 0.7218 0.1237  4 O 1.47-1.49
S: 0.8763 0.4825 0.7782  4 O 1.47-1.49
S: 0.0175 0.2218 0.3763  4 O 1.47-1.49
S: 0.2218 0.3763 0.0175  4 O 1.47-1.49
S: 0.7782 0.8763 0.4825  4 O 1.47-1.49
S: 0.5175 0.2782 0.6237  4 O 1.47-1.49
S: 0.3763 0.0175 0.2218  4 O 1.47-1.49
S: 0.1237 0.9825 0.7218  4 O 1.47-1.49
S: 0.2782 0.6237 0.5175  4 O 1.47-1.49
S: 0.6237 0.5175 0.2782  4 O 1.47-1.49
S: 0.4825 0.7782 0.8763  4 O 1.47-1.49
Zn: 0.8345 0.1655 0.6655  6 O 2.05-2.08
Zn: 0.4116 0.0884 0.9116  6 O 2.08-2.12
Zn: 0.5884 0.5884 0.5884  6 O 2.08-2.12
Zn: 0.0884 0.9116 0.4116  6 O 2.08-2.12
Zn: 0.6655 0.8345 0.1655  6 O 2.05-2.08
Zn: 0.9116 0.4116 0.0884  6 O 2.08-2.12
Zn: 0.3345 0.3345 0.3345  6 O 2.05-2.08
Zn: 0.1655 0.6655 0.8345  6 O 2.05-2.08
K: 0.4506 0.9506 0.5494  9 O 2.81-3.02
K: 0.8143 0.8143 0.8143  12 O 2.86-3.19
K: 0.6857 0.1857 0.3143  12 O 2.86-3.19
K: 0.3143 0.6857 0.1857  12 O 2.86-3.19
K: 0.5494 0.4506 0.9506  9 O 2.81-3.02
K: 0.0494 0.0494 0.0494  9 O 2.81-3.02
K: 0.9506 0.5494 0.4506  9 O 2.81-3.02
K: 0.1857 0.3143 0.6857  12 O 2.86-3.19

(3)
This record from OQMD describes a geometry-optimized ErSiH2O4 structure. The functional is PBE.

Summary:
- Symmetry: I-42d (122)
- Energy above the most stable polymorph in this dataset: 0.363 eV/atom

Cell: 6.0690 6.0690 6.0690 Å, 96.65 116.24 116.24°
Last column: nearest neighbours and their distance in Å.
Fractional positions:
H: 0.5000 0.5162 0.0162  2 O 1.43
H: 0.0000 0.7662 0.7662  2 O 1.43
H: 0.0000 0.2338 0.2338  2 O 1.43
H: 0.5000 0.9838 0.4838  2 O 1.43
Er: 0.5000 0.2500 0.7500  2 H 2.15, 4 O 2.18
Er: 0.0000 0.5000 0.5000  2 H 2.15, 4 O 2.18
O: 0.8098 0.1385 0.9502  1 H 1.43
O: 0.3117 0.6115 0.9213  1 H 1.43
O: 0.8117 0.6713 0.8615  1 H 1.43
O: 0.1902 0.1405 0.3287  1 H 1.43
O: 0.1883 0.0498 0.8595  1 H 1.43
O: 0.6883 0.6095 0.2998  1 H 1.43
O: 0.6902 0.0787 0.3905  1 H 1.43
O: 0.3098 0.7002 0.3885  1 H 1.43
Si: 0.0000 0.0000 0.0000  4 O 1.65
Si: 0.5000 0.7500 0.2500  4 O 1.65

(4)
This record from OQMD describes a geometry-optimized Te2Pd13 structure. The functional is PBE.

Summary:
- Symmetry: C2/m (12)
- Energy above the most stable polymorph in this dataset: 0.016 eV/atom

Cell: 5.8997 5.8997 25.1687 Å, 91.56 91.56 29.17°
Last column: nearest neighbours and their distance in Å.
Fractional positions:
Pd: 0.5000 0.5000 0.5000  12 Pd 2.75-2.97
Pd: 0.5510 0.5510 0.3906  12 Pd 2.74-2.97
Pd: 0.1848 0.1848 0.4631  12 Pd 2.75-2.97
Pd: 0.4490 0.4490 0.6094  12 Pd 2.74-2.97
Pd: 0.7624 0.7624 0.6442  11 Pd 2.76-2.97, 1 Te 2.77
Pd: 0.9276 0.9276 0.3157  2 Te 2.69, 9 Pd 2.75-2.97
Pd: 0.3903 0.3903 0.7223  2 Te 2.67, 7 Pd 2.75-2.97
Pd: 0.1304 0.1304 0.5721  12 Pd 2.74-2.97
Pd: 0.8152 0.8152 0.5369  12 Pd 2.75-2.97
Pd: 0.6097 0.6097 0.2777  2 Te 2.67, 7 Pd 2.75-2.97
Pd: 0.8696 0.8696 0.4279  12 Pd 2.74-2.97
Pd: 0.0724 0.0724 0.6843  2 Te 2.69, 9 Pd 2.75-2.97
Pd: 0.2376 0.2376 0.3558  11 Pd 2.76-2.97, 1 Te 2.77
Te: 0.7077 0.7077 0.7508  5 Pd 2.67-2.77, 2 Te 2.97
Te: 0.2923 0.2923 0.2492  5 Pd 2.67-2.77, 2 Te 2.97

(5)
This record from OQMD describes a geometry-optimized HoCoSn structure. The functional is PBE.

Summary:
- Symmetry: Pnma (62)
- Uncorrected energy: -5.722 eV/atom

Cell: 7.1997 4.5477 7.3502 Å, 90.00 90.00 90.00°
Last column: nearest neighbours and their distance in Å.
Fractional positions:
Sn: 0.2950 0.7500 0.8953  4 Co 2.61-2.64
Sn: 0.7950 0.7500 0.6047  4 Co 2.61-2.64
Sn: 0.7050 0.2500 0.1047  4 Co 2.61-2.64
Sn: 0.2050 0.2500 0.3953  4 Co 2.61-2.64
Ho: 0.4804 0.7500 0.2972  4 Co 2.94-3.03, 6 Sn 3.10-3.24
Ho: 0.5196 0.2500 0.7028  4 Co 2.94-3.03, 6 Sn 3.10-3.24
Ho: 0.9804 0.7500 0.2028  4 Co 2.94-3.03, 6 Sn 3.10-3.24
Ho: 0.0196 0.2500 0.7972  4 Co 2.94-3.03, 6 Sn 3.10-3.24
Co: 0.6578 0.7500 0.9373  4 Sn 2.61-2.64
Co: 0.8422 0.2500 0.4373  4 Sn 2.61-2.64
Co: 0.1578 0.7500 0.5627  4 Sn 2.61-2.64
Co: 0.3422 0.2500 0.0627  4 Sn 2.61-2.64

(6)
This record from OQMD describes a geometry-optimized HfTaAs structure. The functional is PBE.

Summary:
- Symmetry: F-43m (216)
- Uncorrected energy: -8.871 eV/atom

Cell: 4.3985 4.3985 4.3985 Å, 60.00 60.00 60.00°
Last column: nearest neighbours and their distance in Å.
Fractional positions:
As: 0.0000 0.0000 0.0000  4 Ta 2.69, 4 Hf 2.69
Hf: 0.2500 0.2500 0.2500  4 As 2.69
Ta: 0.7500 0.7500 0.7500  4 As 2.69